Record 1
The following is a DFT calculation (GGA-PBE) of a relaxed Sm3AlGa4 crystal.

Uncorrected energy: -66.358 eV for the cell shown
Formation energy from the elements: -0.396 eV/atom
Fermi-level density of states: 11.966 states/eV/cell

Cell lengths 4.589, 6.861, 12.776 Å; angles 90.00, 90.00, 90.00 degrees
Sites, in units of the cell vectors:
Sm1 0.000 0.000 0.000
Sm2 0.000 0.500 0.179
Sm3 0.000 0.500 0.821
Sm4 0.500 0.000 0.321
Sm5 0.500 0.000 0.679
Sm6 0.500 0.500 0.500
Al1 0.000 0.000 0.500
Al2 0.500 0.500 0.000
Ga1 0.000 0.298 0.385
Ga2 0.000 0.298 0.615
Ga3 0.000 0.702 0.385
Ga4 0.000 0.702 0.615
Ga5 0.500 0.202 0.115
Ga6 0.500 0.202 0.885
Ga7 0.500 0.798 0.115
Ga8 0.500 0.798 0.885

---

Record 2
The following is a DFT calculation (GGA-PBE) of a relaxed MoAs crystal.

Uncorrected energy: -30.184 eV for the cell shown
Formation energy from the elements: 0.194 eV/atom
Fermi-level density of states: 3.878 states/eV/cell

Cell lengths 3.715, 3.715, 6.152 Å; angles 90.00, 90.00, 90.00 degrees
Sites, in units of the cell vectors:
Mo1 0.250 0.750 0.000
Mo2 0.750 0.250 0.000
As1 0.250 0.250 0.304
As2 0.750 0.750 0.696

---

Record 3
The following is a DFT calculation (GGA-PBE) of a relaxed Ga2CuPt2 crystal.

Uncorrected energy: -47.351 eV for the cell shown
Energy above the lowest structure with this stoichiometry: 134.2 meV per atom
Formation energy from the elements: -0.289 eV/atom
Fermi-level density of states: 1.980 states/eV/cell

Cell lengths 3.714, 3.714, 12.033 Å; angles 90.00, 90.00, 90.00 degrees
Sites, in units of the cell vectors:
Ga1 0.000 0.500 0.250
Ga2 0.000 0.500 0.750
Ga3 0.500 0.000 0.250
Ga4 0.500 0.000 0.750
Cu1 0.000 0.000 0.000
Cu2 0.500 0.500 0.500
Pt1 0.000 0.000 0.393
Pt2 0.000 0.000 0.607
Pt3 0.500 0.500 0.107
Pt4 0.500 0.500 0.893

---

Record 4
The following is a DFT calculation (GGA-PBE) of a relaxed Tb6Pm2NdEr3 crystal.

Uncorrected energy: -55.531 eV for the cell shown
Formation energy from the elements: 0.017 eV/atom
Fermi-level density of states: 15.825 states/eV/cell

Cell lengths 6.187, 6.187, 11.833 Å; angles 94.98, 94.98, 119.97 degrees
Sites, in units of the cell vectors:
Tb1 0.085 0.419 0.754
Tb2 0.248 0.248 0.246
Tb3 0.419 0.085 0.754
Tb4 0.581 0.915 0.246
Tb5 0.752 0.752 0.754
Tb6 0.915 0.581 0.246
Pm1 0.333 0.667 0.500
Pm2 0.667 0.333 0.500
Nd1 0.000 0.000 0.500
Er1 0.167 0.833 0.000
Er2 0.500 0.500 0.000
Er3 0.833 0.167 0.000

---

Record 5
The following is a DFT calculation (GGA-PBE) of a relaxed HgBiPd4 crystal.

Uncorrected energy: -51.861 eV for the cell shown
Energy above the lowest structure with this stoichiometry: 0.0 meV per atom
Formation energy from the elements: -0.163 eV/atom
Fermi-level density of states: 5.773 states/eV/cell

Cell lengths 9.516, 3.274, 7.613 Å; angles 90.00, 113.52, 90.00 degrees
Sites, in units of the cell vectors:
Hg1 0.000 0.000 0.000
Hg2 0.500 0.500 0.000
Bi1 0.000 0.000 0.500
Bi2 0.500 0.500 0.500
Pd1 0.166 0.500 0.841
Pd2 0.171 0.500 0.328
Pd3 0.329 0.000 0.672
Pd4 0.334 0.000 0.159
Pd5 0.666 0.000 0.841
Pd6 0.671 0.000 0.328
Pd7 0.829 0.500 0.672
Pd8 0.834 0.500 0.159

---

Record 6
The following is a DFT calculation (GGA-PBE) of a relaxed EuDyZnPd crystal.

Uncorrected energy: -93.250 eV for the cell shown
Formation energy from the elements: -0.492 eV/atom
Fermi-level density of states: 27.781 states/eV/cell

Cell lengths 7.197, 7.197, 7.197 Å; angles 90.00, 90.00, 90.00 degrees
Sites, in units of the cell vectors:
Eu1 0.000 0.000 0.000
Eu2 0.000 0.500 0.500
Eu3 0.500 0.000 0.500
Eu4 0.500 0.500 0.000
Dy1 0.000 0.000 0.500
Dy2 0.000 0.500 0.000
Dy3 0.500 0.000 0.000
Dy4 0.500 0.500 0.500
Zn1 0.250 0.250 0.250
Zn2 0.250 0.750 0.750
Zn3 0.750 0.250 0.750
Zn4 0.750 0.750 0.250
Pd1 0.250 0.250 0.750
Pd2 0.250 0.750 0.250
Pd3 0.750 0.250 0.250
Pd4 0.750 0.750 0.750

---

Record 7
The following is a DFT calculation (GGA-PBE) of a relaxed K2UVS4 crystal.

Uncorrected energy: -94.186 eV for the cell shown
Formation energy from raw total energies: -0.998 eV/atom
Fermi-level density of states: 19.660 states/eV/cell

Cell lengths 7.238, 7.238, 8.981 Å; angles 90.00, 90.00, 90.00 degrees
Sites, in units of the cell vectors:
K1 0.000 0.000 0.000
K2 0.000 0.500 0.250
K3 0.500 0.000 0.750
K4 0.500 0.500 0.500
U1 0.000 0.000 0.500
U2 0.500 0.500 0.000
V1 0.000 0.500 0.750
V2 0.500 0.000 0.250
S1 0.175 0.266 0.638
S2 0.234 0.675 0.862
S3 0.266 0.825 0.362
S4 0.325 0.234 0.138
S5 0.675 0.766 0.138
S6 0.734 0.175 0.362
S7 0.766 0.325 0.862
S8 0.825 0.734 0.638

---

Record 8
The following is a DFT calculation (GGA-PBE) of a relaxed NpZnGaAg crystal.

Uncorrected energy: -78.813 eV for the cell shown
Formation energy from the elements: 0.097 eV/atom
Fermi-level density of states: 41.041 states/eV/cell

Cell lengths 6.796, 6.796, 6.796 Å; angles 90.00, 90.00, 90.00 degrees
Sites, in units of the cell vectors:
Np1 0.000 0.000 0.000
Np2 0.000 0.500 0.500
Np3 0.500 0.000 0.500
Np4 0.500 0.500 0.000
Zn1 0.250 0.250 0.250
Zn2 0.250 0.750 0.750
Zn3 0.750 0.250 0.750
Zn4 0.750 0.750 0.250
Ga1 0.250 0.250 0.750
Ga2 0.250 0.750 0.250
Ga3 0.750 0.250 0.250
Ga4 0.750 0.750 0.750
Ag1 0.000 0.000 0.500
Ag2 0.000 0.500 0.000
Ag3 0.500 0.000 0.000
Ag4 0.500 0.500 0.500

---

What did the second record say?
The following is a DFT calculation (GGA-PBE) of a relaxed MoAs crystal.

Uncorrected energy: -30.184 eV for the cell shown
Formation energy from the elements: 0.194 eV/atom
Fermi-level density of states: 3.878 states/eV/cell

Cell lengths 3.715, 3.715, 6.152 Å; angles 90.00, 90.00, 90.00 degrees
Sites, in units of the cell vectors:
Mo1 0.250 0.750 0.000
Mo2 0.750 0.250 0.000
As1 0.250 0.250 0.304
As2 0.750 0.750 0.696